[1]
Al5Se3 after structural relaxation. Source: Alexandria, functional PBE.

The structure in POSCAR format:
```
Al5Se3
1.0
-0.883 -4.325 -7.610
4.616 -3.575 6.581
-4.226 -2.225 1.755
Al Se
10 6
Cartesian
2.783 -3.825 1.851 Al
-1.163 -5.188 -2.002 Al
0.950 -4.075 -2.880 Al
0.670 -4.938 2.728 Al
-1.228 -1.394 -1.036 Al
-3.881 -5.156 -4.819 Al
-0.162 -1.249 1.714 Al
1.953 -6.926 -0.391 Al
-2.446 -3.200 1.117 Al
0.552 -4.551 6.622 Al
-1.633 -3.380 -4.529 Se
-3.476 -3.171 -1.326 Se
1.957 -2.890 4.735 Se
0.240 -3.300 0.081 Se
-0.733 -6.826 0.645 Se
-1.566 -2.910 3.602 Se
```

Raw total energy in eV per formula unit: -28.9
Uncorrected formation energy in meV/atom: 36
ΔE to the lowest computed polymorph in meV/atom: 20

=====

[2]
ZnPBr2 after structural relaxation. Source: Alexandria, functional PBE.

The structure in POSCAR format:
```
ZnPBr2
1.0
-1.731 1.940 7.743
1.731 -1.940 7.743
1.731 1.940 -7.743
Zn P Br
1 1 2
Cartesian
0.000 1.940 0.000 Zn
1.731 0.000 0.000 P
0.000 0.000 13.231 Br
0.000 0.000 2.256 Br
```

Raw total energy in eV per formula unit: -9.5
Uncorrected formation energy in meV/atom: 144
ΔE to the lowest computed polymorph in meV/atom: 411

=====

[3]
TbCeSm2Tm4 after structural relaxation. Source: Alexandria, functional PBE.

The structure in POSCAR format:
```
TbCeSm2Tm4
1.0
-1.462 -0.735 -3.136
3.976 -4.601 -0.775
-5.999 -8.734 4.845
Tb Ce Sm Tm
1 1 2 4
Cartesian
-4.742 -11.402 2.889 Tb
-1.012 -6.668 2.035 Ce
-5.999 -8.734 4.845 Sm
-3.730 -4.735 0.855 Sm
-1.529 -9.986 3.054 Tm
-1.957 -4.085 -2.120 Tm
0.724 -5.998 -0.926 Tm
-4.209 -8.072 1.860 Tm
```

Raw total energy in eV per formula unit: -37.6
Energy relative to the elements in eV per atom: 0.04

=====

[4]
TmHIr after structural relaxation. Source: Alexandria, functional PBE.

The structure in POSCAR format:
```
TmHIr
1.0
-2.426 2.294 -3.720
-2.014 -3.784 1.940
-4.329 0.633 2.417
H Ir Tm
2 2 2
Cartesian
-3.633 1.240 0.172 H
-2.681 2.071 -2.897 H
-1.944 0.509 0.497 Ir
-5.322 1.972 -0.154 Ir
-4.640 -0.651 1.141 Tm
-3.688 0.179 -1.927 Tm
```

Raw total energy in eV per formula unit: -18.7
ΔE to the lowest computed polymorph in meV/atom: 0